# GGA-PBE Sc2PaIn, relaxed
# Offset from the most stable computed form: 53 meV per atom
# Density: 7543 kg/m³
# Formation energy from the elements: -0.123 eV per atom
data_Sc2PaIn
_cell_length_a 3.2807
_cell_length_b 3.2807
_cell_length_c 30.8752
_cell_angle_alpha 90.00
_cell_angle_beta 90.00
_cell_angle_gamma 120.00
_symmetry_space_group_name_H-M 'R -3 m'
_symmetry_Int_Tables_number 166
_symmetry_space_group_name_Hall '-R 3 2"'
loop_
_atom_site_label
_atom_site_type_symbol
_atom_site_fract_x
_atom_site_fract_y
_atom_site_fract_z
_atom_site_occupancy
Sc1 Sc 0.0000 0.0000 0.2490 1
Pa1 Pa 0.0000 0.0000 0.0000 1
In1 In 0.0000 0.0000 0.5000 1